Material: KMgIr2
Method: DFT, PBE-GGA
State: relaxed

The space group is Immm (No. 71) and the conventional cell measures 2.876, 4.942 and 9.970 Å, with angles of 90.00, 90.00 and 90.00 degrees. The inequivalent atoms are K at (0.000, 0.000, 0.000), Mg at (0.000, 0.000, 0.500) and Ir at (0.000, 0.500, 0.226).

For the total energy, the calculation gives -37.0 eV for the cell shown. As for the crystal system: orthorhombic. Its energy of formation from the pure elements is 0.479 eV/atom. Its density of states at the Fermi level is 1.6 states/eV/f.u. The spin magnetization comes out at 0.00 Bohr magnetons per cell.